Record 1
KCd3Sn: relaxed, PBE. Values from VASP.

ΔH_f (0 K): 0.786 eV per atom
crystal system: cubic
space-group type: No. 221

```
&SYSTEM
  ibrav = 0, nat = 5, ntyp = 3
/
ATOMIC_SPECIES
K 39.10 K.upf
Cd 112.41 Cd.upf
Sn 118.71 Sn.upf
CELL_PARAMETERS angstrom
5.948 0.000 0.000
0.000 5.948 0.000
0.000 0.000 5.948
ATOMIC_POSITIONS crystal
K 0.000 0.000 0.000
Cd 0.000 0.000 0.500
Cd 0.000 0.500 0.000
Cd 0.500 0.000 0.000
Sn 0.500 0.500 0.500
```

Record 2
Pa2SeCl: relaxed, PBE. Values from VASP.

formation energy from raw total energies: -0.604 eV/atom
crystal system: tetragonal
space-group type: No. 123

```
&SYSTEM
  ibrav = 0, nat = 4, ntyp = 3
/
ATOMIC_SPECIES
Pa 231.04 Pa.upf
Se 78.96 Se.upf
Cl 35.45 Cl.upf
CELL_PARAMETERS angstrom
4.960 0.000 0.000
0.000 4.960 0.000
0.000 0.000 3.579
ATOMIC_POSITIONS crystal
Pa 0.000 0.500 0.000
Pa 0.500 0.000 0.000
Se 0.000 0.000 0.500
Cl 0.500 0.500 0.500
```

Record 3
Ce2AgGe4Pd3: relaxed, PBE. Values from VASP.

ΔH_f (0 K): -0.674 eV per atom
crystal system: tetragonal
space-group type: No. 115

```
&SYSTEM
  ibrav = 0, nat = 10, ntyp = 4
/
ATOMIC_SPECIES
Ce 140.12 Ce.upf
Ag 107.87 Ag.upf
Ge 72.64 Ge.upf
Pd 106.42 Pd.upf
CELL_PARAMETERS angstrom
4.360 0.000 0.000
0.000 4.360 0.000
0.000 0.000 10.273
ATOMIC_POSITIONS crystal
Ce 0.000 0.500 0.246
Ce 0.500 0.000 0.754
Ag 0.000 0.000 0.500
Ge 0.000 0.000 0.000
Ge 0.000 0.500 0.639
Ge 0.500 0.000 0.361
Ge 0.500 0.500 0.000
Pd 0.000 0.500 0.877
Pd 0.500 0.000 0.123
Pd 0.500 0.500 0.500
```

Which density belongs to each record? In order, 3.9 10.9 8.5 g/cm³.
Which DOS at the Fermi energy belongs to each record? In order, 5.00 9.42 12.99 states/eV/f.u..